Entry from Alexandria: crystalline UGaGe2 at its relaxed geometry (GGA-PBE).

Structure (POSCAR):
```
UGaGe2
1.0
2.252 1.300 4.546
-2.252 1.300 4.546
0.000 -2.601 4.546
U Ga Ge
1 1 2
direct
0.000 0.000 0.000
0.500 0.500 0.500
0.229 0.229 0.229
0.771 0.771 0.771
```

## Properties
Calculated volume, Å³/atom: 19.97
Raw total energy, eV for the cell shown: -23.4
DFT formation energy, eV/atom: 0.04
Excess energy over the best structure of this formula in the dataset, eV/atom: 0.370